Zn2HgBr at its PBEsol-relaxed geometry. Source: the Alexandria database, functional meta-GGA SCAN.

E_tot: -28.54 eV/atom
excess energy over the best structure of this formula in the dataset: 245 meV per atom

a = 3.303 Å, b = 3.303 Å, c = 7.293 Å
α = 90.00°, β = 90.00°, γ = 90.00°
Atoms (fractional coordinates):
Hg 0.500 0.500 0.500
Br 0.500 0.500 0.000
Zn 0.000 0.000 0.257
Zn 0.000 0.000 0.743

Zn2HgBr at its PBEsol-relaxed geometry. Source: the Alexandria database, functional meta-GGA SCAN.

E_tot: -28.63 eV/atom
excess energy over the best structure of this formula in the dataset: 152 meV per atom

a = 3.249 Å, b = 3.249 Å, c = 7.754 Å
α = 90.00°, β = 90.00°, γ = 90.00°
Atoms (fractional coordinates):
Zn 0.500 0.500 0.235
Zn 0.000 0.000 0.034
Hg 0.500 0.500 0.791
Br 0.000 0.000 0.440

Zn2HgBr at its PBEsol-relaxed geometry. Source: the Alexandria database, functional meta-GGA SCAN.

E_tot: -28.71 eV/atom
excess energy over the best structure of this formula in the dataset: 78 meV per atom

a = 3.422 Å, b = 3.422 Å, c = 8.167 Å
α = 90.00°, β = 90.00°, γ = 115.05°
Atoms (fractional coordinates):
Zn 0.000 0.000 0.974
Zn 0.500 0.500 0.762
Br 0.000 0.000 0.546
Hg 0.500 0.500 0.218

Zn2HgBr at its PBEsol-relaxed geometry. Source: the Alexandria database, functional meta-GGA SCAN.

E_tot: -28.57 eV/atom
excess energy over the best structure of this formula in the dataset: 213 meV per atom

a = 3.636 Å, b = 5.062 Å, c = 5.062 Å
α = 103.60°, β = 103.11°, γ = 103.11°
Atoms (fractional coordinates):
Zn 0.000 0.000 0.500
Zn 0.000 0.500 0.000
Hg 0.500 0.000 0.000
Br 0.500 0.500 0.500

Zn2HgBr at its PBEsol-relaxed geometry. Source: the Alexandria database, functional meta-GGA SCAN.

E_tot: -28.78 eV/atom
excess energy over the best structure of this formula in the dataset: 0 meV per atom

a = 3.598 Å, b = 4.880 Å, c = 5.988 Å
α = 81.05°, β = 72.51°, γ = 68.37°
Atoms (fractional coordinates):
Br 0.500 0.000 0.000
Hg 0.000 0.500 0.500
Zn 0.776 0.096 0.352
Zn 0.224 0.904 0.648

ZrHg3Br at its PBEsol-relaxed geometry. Source: the Alexandria database, functional meta-GGA SCAN.

E_tot: -50.67 eV/atom

a = 5.523 Å, b = 5.523 Å, c = 5.523 Å
α = 90.00°, β = 90.00°, γ = 90.00°
Atoms (fractional coordinates):
Br 0.500 0.500 0.500
Zr 0.000 0.000 0.000
Hg 0.500 0.000 0.000
Hg 0.000 0.000 0.500
Hg 0.000 0.500 0.000

ZrHgBr2 at its PBEsol-relaxed geometry. Source: the Alexandria database, functional meta-GGA SCAN.

E_tot: -34.70 eV/atom
excess energy over the best structure of this formula in the dataset: 701 meV per atom

a = 3.355 Å, b = 5.738 Å, c = 5.762 Å
α = 118.92°, β = 105.46°, γ = 92.82°
Atoms (fractional coordinates):
Br 0.000 0.000 0.500
Br 0.500 0.500 0.500
Zr 0.500 0.500 0.000
Hg 0.000 0.000 0.000

ZrHgBr2 at its PBEsol-relaxed geometry. Source: the Alexandria database, functional meta-GGA SCAN.

E_tot: -35.40 eV/atom
excess energy over the best structure of this formula in the dataset: 0 meV per atom

a = 3.405 Å, b = 3.405 Å, c = 10.366 Å
α = 80.55°, β = 80.55°, γ = 60.00°
Atoms (fractional coordinates):
Br 0.729 0.729 0.813
Br 0.271 0.271 0.187
Zr 0.000 0.000 0.000
Hg 0.500 0.500 0.500

Zr2HgBr2 at its PBEsol-relaxed geometry. Source: the Alexandria database, functional meta-GGA SCAN.

E_tot: -34.01 eV/atom

a = 4.241 Å, b = 4.241 Å, c = 7.078 Å
α = 107.43°, β = 107.43°, γ = 90.00°
Last column: magnetic moment on the atom in μB.
Atoms (fractional coordinates):
Br 0.250 0.750 0.500  0.01
Br 0.750 0.250 0.500  0.01
Zr 0.609 0.609 0.219  0.21
Zr 0.391 0.391 0.781  0.21
Hg 0.000 0.000 0.000  0.02

HoMoBrO4 at its PBEsol-relaxed geometry. Source: the Alexandria database, functional meta-GGA SCAN.

E_tot: -20.97 eV/atom

a = 6.859 Å, b = 7.184 Å, c = 10.728 Å
α = 102.97°, β = 107.96°, γ = 94.94°
Atoms (fractional coordinates):
O 0.996 0.887 0.204
O 0.646 0.632 0.199
O 0.726 0.395 0.696
O 0.346 0.219 0.297
O 0.964 0.346 0.330
O 0.334 0.496 0.553
O 0.354 0.368 0.801
O 0.666 0.504 0.447
O 0.341 0.265 0.043
O 0.659 0.735 0.957
O 0.036 0.654 0.670
O 0.654 0.781 0.703
O 0.274 0.605 0.304
O 0.595 0.012 0.185
O 0.405 0.988 0.815
O 0.004 0.113 0.796
Mo 0.232 0.413 0.374
Mo 0.727 0.817 0.133
Mo 0.273 0.183 0.867
Mo 0.768 0.587 0.626
Ho 0.379 0.663 0.767
Ho 0.660 0.103 0.731
Ho 0.621 0.337 0.233
Ho 0.340 0.897 0.269
Br 0.808 0.282 0.016
Br 0.738 0.991 0.480
Br 0.192 0.718 0.984
Br 0.262 0.009 0.520

HoBrO at its PBEsol-relaxed geometry. Source: the Alexandria database, functional meta-GGA SCAN.

E_tot: -28.07 eV/atom

a = 3.777 Å, b = 4.103 Å, c = 9.170 Å
α = 90.00°, β = 90.00°, γ = 90.00°
Atoms (fractional coordinates):
O 0.000 0.500 0.976
O 0.500 0.000 0.024
Br 0.000 0.500 0.337
Br 0.500 0.000 0.663
Ho 0.000 0.000 0.888
Ho 0.500 0.500 0.112

HoBrO at its PBEsol-relaxed geometry. Source: the Alexandria database, functional meta-GGA SCAN.

E_tot: -28.14 eV/atom

a = 3.776 Å, b = 3.776 Å, c = 8.410 Å
α = 90.00°, β = 90.00°, γ = 90.00°
Atoms (fractional coordinates):
O 0.500 0.500 0.000
O 0.000 0.000 0.000
Ho 0.500 0.000 0.867
Ho 0.000 0.500 0.133
Br 0.500 0.000 0.327
Br 0.000 0.500 0.673

HoWBrO4 at its PBEsol-relaxed geometry. Source: the Alexandria database, functional meta-GGA SCAN.

E_tot: -26.00 eV/atom

a = 6.876 Å, b = 7.215 Å, c = 10.848 Å
α = 102.17°, β = 109.01°, γ = 94.86°
Atoms (fractional coordinates):
O 0.653 0.625 0.199
O 0.598 0.011 0.191
O 0.272 0.609 0.304
O 0.027 0.652 0.665
O 0.345 0.217 0.292
O 0.728 0.391 0.696
O 0.352 0.505 0.558
O 0.999 0.886 0.202
O 0.347 0.375 0.801
O 0.648 0.495 0.442
O 0.348 0.264 0.045
O 0.973 0.348 0.335
O 0.402 0.989 0.809
O 0.652 0.736 0.955
O 0.655 0.783 0.708
O 0.001 0.114 0.798
W 0.724 0.815 0.132
W 0.276 0.185 0.868
W 0.245 0.414 0.377
W 0.755 0.586 0.623
Br 0.804 0.274 0.015
Br 0.737 0.969 0.484
Br 0.263 0.031 0.516
Br 0.196 0.726 0.985
Ho 0.373 0.666 0.765
Ho 0.339 0.899 0.269
Ho 0.627 0.334 0.235
Ho 0.661 0.101 0.731

IBr at its PBEsol-relaxed geometry. Source: the Alexandria database, functional meta-GGA SCAN.

E_tot: -28.17 eV/atom

a = 4.261 Å, b = 4.261 Å, c = 8.860 Å
α = 90.00°, β = 90.00°, γ = 114.93°
Atoms (fractional coordinates):
I 0.500 0.500 0.000
I 0.500 0.500 0.500
Br 0.841 0.841 0.250
Br 0.159 0.159 0.750

InIBr2 at its PBEsol-relaxed geometry. Source: the Alexandria database, functional meta-GGA SCAN.

E_tot: -27.20 eV/atom

a = 3.243 Å, b = 3.243 Å, c = 12.897 Å
α = 82.78°, β = 82.78°, γ = 60.00°
Atoms (fractional coordinates):
Br 0.929 0.929 0.213
Br 0.071 0.071 0.787
In 0.000 0.000 0.000
I 0.500 0.500 0.500

InI2BrN at its PBEsol-relaxed geometry. Source: the Alexandria database, functional meta-GGA SCAN.

E_tot: -26.20 eV/atom

a = 3.654 Å, b = 6.527 Å, c = 6.527 Å
α = 90.00°, β = 90.00°, γ = 90.00°
Atoms (fractional coordinates):
Br 0.000 0.000 0.000
In 0.500 0.500 0.500
N 0.500 0.000 0.000
I 0.000 0.500 0.000
I 0.000 0.000 0.500

InIBrN2 at its PBEsol-relaxed geometry. Source: the Alexandria database, functional meta-GGA SCAN.

E_tot: -20.34 eV/atom

a = 4.296 Å, b = 4.296 Å, c = 6.413 Å
α = 90.00°, β = 90.00°, γ = 90.00°
Last column: magnetic moment on the atom in μB.
Atoms (fractional coordinates):
Br 0.500 0.500 0.500  0.03
N 0.000 0.500 0.000  1.18
N 0.500 0.000 0.000  1.18
I 0.000 0.000 0.500  0.05
In 0.000 0.000 0.000  -0.11

NbIn2IBr at its PBEsol-relaxed geometry. Source: the Alexandria database, functional meta-GGA SCAN.

E_tot: -31.19 eV/atom

a = 4.887 Å, b = 5.634 Å, c = 5.634 Å
α = 90.00°, β = 90.00°, γ = 90.00°
Last column: magnetic moment on the atom in μB.
Atoms (fractional coordinates):
In 0.000 0.500 0.000  0.06
In 0.000 0.000 0.500  0.06
I 0.500 0.500 0.500  0.07
Br 0.500 0.000 0.000  -0.02
Nb 0.000 0.000 0.000  1.32

InI2BrO at its PBEsol-relaxed geometry. Source: the Alexandria database, functional meta-GGA SCAN.

E_tot: -26.69 eV/atom

a = 3.833 Å, b = 6.065 Å, c = 6.065 Å
α = 90.00°, β = 90.00°, γ = 90.00°
Last column: magnetic moment on the atom in μB.
Atoms (fractional coordinates):
O 0.500 0.000 0.000  0.01
I 0.000 0.500 0.000  0.34
I 0.000 0.000 0.500  0.34
Br 0.500 0.500 0.500  0.48
In 0.000 0.000 0.000  -0.01

InPdI2Br at its PBEsol-relaxed geometry. Source: the Alexandria database, functional meta-GGA SCAN.

E_tot: -31.61 eV/atom

a = 5.244 Å, b = 5.788 Å, c = 5.788 Å
α = 90.00°, β = 90.00°, γ = 90.00°
Last column: magnetic moment on the atom in μB.
Atoms (fractional coordinates):
I 0.000 0.000 0.500  0.01
I 0.000 0.500 0.000  0.01
In 0.000 0.000 0.000  0.00
Br 0.500 0.000 0.000  0.00
Pd 0.500 0.500 0.500  0.47

Results for energy relative to the elements, uncorrected: 49 13 -16 36 -46 125 -99 -369 -151 -1786 -921 -939 -1824 -13 22 444 625 16 -86 103 (in kJ/mol of formula units, following the order of the records).